Dy3Tm3Pd2 | PBE-GGA | relaxed

The calculation puts the total energy at -5.093 eV/atom. The energy of formation comes out at -0.393 eV/atom.

The structure belongs to space group Cmcm (No. 63); the cell edges are 3.8191, 12.7497 and 17.6549 Å and the angles 90.00°, 90.00° and 90.00°. The inequivalent atoms are Dy at (0.0000, 0.0489, 0.1037), Dy at (0.0000, 0.3500, 0.2500), Tm at (0.0000, 0.3457, 0.0420), Tm at (0.0000, 0.3845, 0.7500) and Pd at (0.0000, 0.2527, 0.6275).